No. 1
Ta2CoHg: optimized geometry, GGA-PBE.

The value obtained for the energy of formation is 0.24 eV/atom.

Cell: 3.044 3.898 6.067 Å, 90.00 104.45 90.00°
Space group Pm (No. 6)
Asymmetric unit:
Ta 0.000 0.000 0.000 [1 per cell]
Ta 0.369 0.500 0.738 [1 per cell]
Co 0.579 0.500 0.158 [1 per cell]
Hg 0.731 0.000 0.462 [1 per cell]

***

No. 2
Ho2PuZr: optimized geometry, GGA-PBE.

The value obtained for the energy of formation is 0.13 eV/atom. For the polymorph energy (0 for the lowest one), the calculation gives 0 meV per atom.

Cell: 3.361 3.361 9.814 Å, 90.00 90.00 90.00°
Space group P4/mmm (No. 123)
Asymmetric unit:
Ho 0.000 0.000 0.235 [2 per cell]
Pu 0.500 0.500 0.500 [1 per cell]
Zr 0.500 0.500 0.000 [1 per cell]

***

No. 3
PrDy3Er2P6: optimized geometry, GGA-PBE.

The value obtained for the energy of formation is -1.58 eV/atom.

Cell: 6.979 12.087 6.980 Å, 90.00 109.47 90.00°
Space group C2/m (No. 12)
Asymmetric unit:
Pr 0.000 0.000 0.000 [2 per cell]
Dy 0.000 0.165 0.500 [4 per cell]
Dy 0.000 0.500 0.500 [2 per cell]
Er 0.000 0.333 0.000 [4 per cell]
P 0.243 0.500 0.252 [4 per cell]
P 0.245 0.330 0.747 [8 per cell]

***

No. 4
UBe2H8: optimized geometry, GGA-PBE.

For the total energy, the calculation gives -139.8 eV per cell.

Cell: 4.1213 4.1213 15.8070 Å, 90.00 90.00 120.00°
Space group R-3m (No. 166, hexagonal axes)
Asymmetric unit:
U 0.0000 0.0000 0.0000 [3 per cell]
Be 0.0000 0.0000 0.2228 [6 per cell]
H 0.0000 0.0000 0.1332 [6 per cell]
H 0.0189 0.5094 0.0651 [18 per cell]

***

No. 5
Pm5Ge2Pb: optimized geometry, GGA-PBE.

The value obtained for the energy of formation is -0.67 eV/atom.

Cell: 8.076 8.076 14.179 Å, 90.00 90.00 90.00°
Space group I4/mcm (No. 140)
Asymmetric unit:
Pm 0.000 0.000 0.000 [4 per cell]
Pm 0.160 0.340 0.140 [16 per cell]
Ge 0.142 0.358 0.500 [8 per cell]
Pb 0.000 0.000 0.250 [4 per cell]

***

No. 6
Zr2NbFe: optimized geometry, GGA-PBE.

The value obtained for the energy of formation is -0.01 eV/atom. For the polymorph energy (0 for the lowest one), the calculation gives 0 meV per atom.

Cell: 3.214 3.214 7.123 Å, 90.00 90.00 90.00°
Space group P4/mmm (No. 123)
Asymmetric unit:
Zr 0.000 0.000 0.221 [2 per cell]
Nb 0.500 0.500 0.500 [1 per cell]
Fe 0.500 0.500 0.000 [1 per cell]

***

No. 7
ZrGeTeN2: optimized geometry, GGA-PBE.

For the polymorph energy (0 for the lowest one), the calculation gives 518 meV per atom. As for the uncorrected formation energy: 0.953 eV/atom.

Cell: 4.021 4.021 5.230 Å, 90.00 90.00 90.00°
Space group P4/mmm (No. 123)
Asymmetric unit:
Zr 0.000 0.000 0.000 [1 per cell]
Ge 0.500 0.500 0.500 [1 per cell]
Te 0.500 0.500 0.000 [1 per cell]
N 0.000 0.500 0.500 [2 per cell]

***

No. 8
Ta2CrOs: optimized geometry, GGA-PBE.

The value obtained for the energy of formation is 0.83 eV/atom. For the polymorph energy (0 for the lowest one), the calculation gives 1136 meV per atom.

Cell: 3.952 3.952 18.183 Å, 90.00 90.00 90.00°
Space group I-42d (No. 122)
Asymmetric unit:
Ta 0.249 0.250 0.125 [8 per cell]
Cr 0.000 0.000 0.000 [4 per cell]
Os 0.000 0.000 0.500 [4 per cell]